1.
Ti4Zn3Ni | PBE | optimized geometry

a = 3.1013 Å, b = 3.1013 Å, c = 12.5617 Å
α = 90.00°, β = 90.00°, γ = 90.00°
With the nearest neighbours (Å) after each atom.
Element x y z (fractional)
Ti 0.0000 0.0000 0.1148  4 Ni 2.62, 4 Zn 2.73, 1 Ti 2.88
Ti 0.0000 0.0000 0.3716  8 Zn 2.72
Ti 0.0000 0.0000 0.6284  8 Zn 2.72
Ti 0.0000 0.0000 0.8852  4 Ni 2.62, 4 Zn 2.73, 1 Ti 2.88
Zn 0.5000 0.5000 0.2439  8 Ti 2.72-2.73
Zn 0.5000 0.5000 0.5000  8 Ti 2.72
Zn 0.5000 0.5000 0.7561  8 Ti 2.72-2.73
Ni 0.5000 0.5000 0.0000  8 Ti 2.62

SG	P4/mmm, No. 123
energy relative to the elements	-0.214	eV/atom

2.
Cs2UGaBr6 | PBE | optimized geometry

a = 8.4123 Å, b = 11.8965 Å, c = 8.4129 Å
α = 90.00°, β = 90.00°, γ = 90.00°
With the nearest neighbours (Å) after each atom.
Element x y z (fractional)
Cs 0.2500 0.0000 0.2502  12 Br 4.18-4.23
Cs 0.2500 0.5000 0.2502  12 Br 4.18-4.23
Cs 0.7500 0.0000 0.7498  12 Br 4.18-4.23
Cs 0.7500 0.5000 0.7498  12 Br 4.18-4.23
U 0.2500 0.2500 0.7471  6 Br 2.90
U 0.7500 0.7500 0.2529  6 Br 2.90
Ga 0.2500 0.7500 0.7518  6 Br 3.04-3.06
Ga 0.7500 0.2500 0.2482  6 Br 3.04-3.06
Br 0.0057 0.2500 0.9898  1 U 2.90, 1 Ga 3.06
Br 0.0072 0.2500 0.5027  1 U 2.90, 1 Ga 3.04
Br 0.2500 0.0064 0.7471  1 U 2.90, 1 Ga 3.05
Br 0.2500 0.4936 0.7471  1 U 2.90, 1 Ga 3.05
Br 0.4928 0.2500 0.5027  1 U 2.90, 1 Ga 3.04
Br 0.4943 0.2500 0.9898  1 U 2.90, 1 Ga 3.06
Br 0.5057 0.7500 0.0102  1 U 2.90, 1 Ga 3.06
Br 0.5072 0.7500 0.4973  1 U 2.90, 1 Ga 3.04
Br 0.7500 0.5064 0.2529  1 U 2.90, 1 Ga 3.05
Br 0.7500 0.9936 0.2529  1 U 2.90, 1 Ga 3.05
Br 0.9928 0.7500 0.4973  1 U 2.90, 1 Ga 3.04
Br 0.9943 0.7500 0.0102  1 U 2.90, 1 Ga 3.06

SG	Pmmn, No. 59
formation energy without anion corrections	-1363	meV/atom

3.
CaSnPd3 | PBE | optimized geometry

a = 4.9242 Å, b = 4.9242 Å, c = 4.9242 Å
α = 90.00°, β = 90.00°, γ = 90.00°
With the nearest neighbours (Å) after each atom.
Element x y z (fractional)
Ca 0.0000 0.0000 0.0000  6 Pd 2.46
Sn 0.5000 0.5000 0.5000  12 Pd 3.48
Pd 0.0000 0.0000 0.5000  2 Ca 2.46
Pd 0.0000 0.5000 0.0000  2 Ca 2.46
Pd 0.5000 0.0000 0.0000  2 Ca 2.46

excess energy over the best structure of this formula in the dataset	1.108	eV per atom
SG	Pm-3m, No. 221
energy relative to the elements	0.505	eV/atom

4.
Dy2ThS4 | PBE | optimized geometry

a = 6.7692 Å, b = 6.7692 Å, c = 13.0208 Å
α = 90.00°, β = 90.00°, γ = 146.66°
With the nearest neighbours (Å) after each atom.
Element x y z (fractional)
Dy 0.1337 0.8663 0.5662  6 S 2.73-2.76
Dy 0.1337 0.8663 0.9338  6 S 2.73-2.76
Dy 0.8663 0.1337 0.0662  6 S 2.73-2.76
Dy 0.8663 0.1337 0.4338  6 S 2.73-2.76
Th 0.3756 0.6244 0.7500  6 S 2.81-2.87
Th 0.6244 0.3756 0.2500  6 S 2.81-2.87
S 0.0324 0.9676 0.7500  2 Dy 2.73, 2 Th 2.81
S 0.2272 0.7728 0.1240  3 Dy 2.75-2.76, 2 Th 2.87
S 0.2272 0.7728 0.3760  3 Dy 2.75-2.76, 2 Th 2.87
S 0.5000 0.5000 0.0000  4 Dy 2.74
S 0.5000 0.5000 0.5000  4 Dy 2.74
S 0.7728 0.2272 0.6240  3 Dy 2.75-2.76, 2 Th 2.87
S 0.7728 0.2272 0.8760  3 Dy 2.75-2.76, 2 Th 2.87
S 0.9676 0.0324 0.2500  2 Dy 2.73, 2 Th 2.81

SG	Cmcm, No. 63
formation energy without anion corrections	-1968	meV/atom

5.
KPaCuO5 | PBE | optimized geometry

a = 6.0293 Å, b = 6.0293 Å, c = 8.1036 Å
α = 101.27°, β = 101.27°, γ = 111.78°
With the nearest neighbours (Å) after each atom.
Element x y z (fractional)
K 0.1703 0.8297 0.7500  5 O 2.60-2.82
K 0.8297 0.1703 0.2500  5 O 2.60-2.82
Pa 0.5000 0.5000 0.0000  6 O 2.13-2.14
Pa 0.5000 0.5000 0.5000  6 O 2.13-2.14
Cu 0.1786 0.8214 0.2500  4 O 1.87
Cu 0.8214 0.1786 0.7500  4 O 1.87
O 0.1172 0.2317 0.9109  1 Cu 1.87
O 0.2317 0.1172 0.4109  1 Cu 1.87
O 0.2418 0.6418 0.4033  1 Cu 1.87
O 0.3582 0.7582 0.0967  1 Cu 1.87
O 0.4307 0.5693 0.7500  2 Pa 2.14
O 0.5693 0.4307 0.2500  2 Pa 2.14
O 0.6418 0.2418 0.9033  1 Cu 1.87
O 0.7582 0.3582 0.5967  1 Cu 1.87
O 0.7683 0.8828 0.5891  1 Cu 1.87
O 0.8828 0.7683 0.0891  1 Cu 1.87

SG	C2/c, No. 15
formation energy without anion corrections	-1864	meV/atom

6.
Dy3Ho2PuTe6 | PBE | optimized geometry

a = 9.7553 Å, b = 9.7553 Å, c = 8.7500 Å
α = 103.09°, β = 103.09°, γ = 25.69°
With the nearest neighbours (Å) after each atom.
Element x y z (fractional)
Dy 0.0000 0.0000 0.0000  6 Te 3.06-3.12
Dy 0.3354 0.3354 0.6656  6 Te 3.04-3.11
Dy 0.6646 0.6646 0.3344  6 Te 3.04-3.11
Ho 0.3369 0.3369 0.1721  6 Te 3.02-3.11
Ho 0.6631 0.6631 0.8279  6 Te 3.02-3.11
Pu 0.0000 0.0000 0.5000  6 Te 3.10-3.13
Te 0.1687 0.1687 0.0822  3 Ho 3.09-3.11, 3 Dy 3.11-3.12
Te 0.1690 0.1690 0.5853  2 Ho 3.06, 3 Dy 3.07-3.08, 1 Pu 3.13
Te 0.5001 0.5001 0.2466  1 Ho 3.02, 3 Dy 3.04-3.06, 2 Pu 3.10
Te 0.4999 0.4999 0.7534  1 Ho 3.02, 3 Dy 3.04-3.06, 2 Pu 3.10
Te 0.8310 0.8310 0.4147  2 Ho 3.06, 3 Dy 3.07-3.08, 1 Pu 3.13
Te 0.8313 0.8313 0.9178  3 Ho 3.09-3.11, 3 Dy 3.11-3.12

SG	C2/m, No. 12
formation energy without anion corrections	-1255	meV/atom

Respective mass density values: 6.1 4.2 6.6 6.9 5.4 8.6 g cm⁻³.
Respective density of states at the Fermi level values: 7.3 4.3 2.0 7.1 13.5 11.2 states/eV/cell.
Respective E_tot values: -42.9 -79.4 -19.1 -93.8 -108.8 -71.2 eV for the cell shown.